<1>
A plane-wave DFT calculation with PBE was carried out for crystalline Ga2AgI at its relaxed geometry.

Cell: 8.7851 8.7851 8.7851 Å, 141.17 141.17 56.08°
With the nearest neighbours (Å) after each atom.
Fractional coordinates of all 8 atoms:
Ga (0.0202, 0.6250, 0.8952)  2 Ag 2.57
Ga (0.3750, 0.2702, 0.3952)  2 Ag 2.57
Ga (0.7298, 0.1250, 0.1048)  2 Ag 2.57
Ga (0.8750, 0.9798, 0.6048)  2 Ag 2.57
Ag (0.0000, 0.0000, 0.0000)  4 Ga 2.57
Ag (0.7500, 0.2500, 0.5000)  4 Ga 2.57
I (0.2500, 0.7500, 0.5000)  4 Ga 3.19
I (0.5000, 0.5000, 0.0000)  4 Ga 3.19

<2>
A plane-wave DFT calculation with PBE was carried out for crystalline Ga2AgI at its relaxed geometry.

Cell: 5.3072 5.3072 5.3072 Å, 60.00 60.00 60.00°
With the nearest neighbours (Å) after each atom.
Fractional coordinates of all 4 atoms:
Ga (0.2500, 0.2500, 0.2500)  4 I 3.25, 4 Ag 3.25
Ga (0.7500, 0.7500, 0.7500)  4 I 3.25, 4 Ag 3.25
Ag (0.0000, 0.0000, 0.0000)  8 Ga 3.25
I (0.5000, 0.5000, 0.5000)  8 Ga 3.25

Which of them is the most stable? Correct choice: <1>.

<1>
A plane-wave DFT calculation with PBE was carried out for crystalline GaAg3I at its relaxed geometry.

Cell: 5.0694 5.0694 5.0694 Å, 90.00 90.00 90.00°
With the nearest neighbours (Å) after each atom.
Fractional coordinates of all 5 atoms:
Ga (0.0000, 0.0000, 0.0000)  6 Ag 2.53
Ag (0.0000, 0.0000, 0.5000)  2 Ga 2.53
Ag (0.0000, 0.5000, 0.0000)  2 Ga 2.53
Ag (0.5000, 0.0000, 0.0000)  2 Ga 2.53
I (0.5000, 0.5000, 0.5000)  12 Ag 3.58

<2>
A plane-wave DFT calculation with PBE was carried out for crystalline GaAg3I at its relaxed geometry.

Cell: 5.4869 5.4869 5.4869 Å, 90.00 90.00 90.00°
With the nearest neighbours (Å) after each atom.
Fractional coordinates of all 5 atoms:
Ga (0.0000, 0.0000, 0.0000)  12 Ag 3.88
Ag (0.0000, 0.5000, 0.5000)  2 I 2.74
Ag (0.5000, 0.0000, 0.5000)  2 I 2.74
Ag (0.5000, 0.5000, 0.0000)  2 I 2.74
I (0.5000, 0.5000, 0.5000)  6 Ag 2.74

Which of them is the most stable? Correct choice: <1>.

<1>
A plane-wave DFT calculation with PBE was carried out for crystalline GaAgI3 at its relaxed geometry.

Cell: 5.7314 5.7314 5.7314 Å, 90.00 90.00 90.00°
With the nearest neighbours (Å) after each atom.
Fractional coordinates of all 5 atoms:
Ga (0.0000, 0.0000, 0.0000)  12 I 4.05
Ag (0.5000, 0.5000, 0.5000)  6 I 2.87
I (0.0000, 0.5000, 0.5000)  2 Ag 2.87
I (0.5000, 0.0000, 0.5000)  2 Ag 2.87
I (0.5000, 0.5000, 0.0000)  2 Ag 2.87

<2>
A plane-wave DFT calculation with PBE was carried out for crystalline GaAgI3 at its relaxed geometry.

Cell: 4.3481 9.7188 10.5143 Å, 83.50 89.98 77.17°
With the nearest neighbours (Å) after each atom.
Fractional coordinates of all 10 atoms:
Ga (0.0000, 0.0000, 0.0000)  1 Ga 2.47, 1 I 2.56
Ga (0.1148, 0.7663, 0.1315)  1 Ga 2.47, 1 I 2.56
Ag (0.2832, 0.4346, 0.4744)  4 I 2.84-2.95, 2 Ag 2.99
Ag (0.8340, 0.3324, 0.6571)  4 I 2.84-2.95, 2 Ag 2.99
I (0.1283, 0.7387, 0.3761)  1 Ga 2.56
I (0.2551, 0.4906, 0.7425)  3 Ag 2.84-2.93
I (0.4283, 0.1447, 0.0841)  2 Ga 2.77
I (0.6868, 0.6215, 0.0476)  2 Ga 2.77
I (0.8619, 0.2764, 0.3891)  3 Ag 2.84-2.93
I (0.9872, 0.0281, 0.7554)  1 Ga 2.56

Which of them is the most stable? Correct choice: <2>.

<1>
A plane-wave DFT calculation with PBE was carried out for crystalline Ga2Ag2I at its relaxed geometry.

Cell: 6.7595 6.7595 6.7595 Å, 142.12 142.12 54.64°
With the nearest neighbours (Å) after each atom.
Fractional coordinates of all 5 atoms:
Ga (0.1083, 0.1083, 0.0000)  1 Ga 2.60, 4 Ag 2.78
Ga (0.8917, 0.8917, 0.0000)  1 Ga 2.60, 4 Ag 2.78
Ag (0.2500, 0.7500, 0.5000)  4 Ga 2.78, 4 Ag 3.10
Ag (0.7500, 0.2500, 0.5000)  4 Ga 2.78, 4 Ag 3.10
I (0.5000, 0.5000, 0.0000)  8 Ga 3.36, 8 Ag 3.72

<2>
A plane-wave DFT calculation with PBE was carried out for crystalline Ga2Ag2I at its relaxed geometry.

Cell: 7.8415 7.8415 3.7482 Å, 90.00 90.00 90.00°
With the nearest neighbours (Å) after each atom.
Fractional coordinates of all 10 atoms:
Ga (0.1594, 0.3406, 0.0000)  6 Ag 2.94-3.01
Ga (0.3406, 0.8406, 0.0000)  6 Ag 2.94-3.01
Ga (0.6594, 0.1594, 0.0000)  6 Ag 2.94-3.01
Ga (0.8406, 0.6594, 0.0000)  6 Ag 2.94-3.01
Ag (0.1276, 0.6276, 0.5000)  1 Ag 2.83, 6 Ga 2.94-3.01, 2 I 3.09
Ag (0.3724, 0.1276, 0.5000)  1 Ag 2.83, 6 Ga 2.94-3.01, 2 I 3.09
Ag (0.6276, 0.8724, 0.5000)  1 Ag 2.83, 6 Ga 2.94-3.01, 2 I 3.09
Ag (0.8724, 0.3724, 0.5000)  1 Ag 2.83, 6 Ga 2.94-3.01, 2 I 3.09
I (0.0000, 0.0000, 0.5000)  4 Ag 3.09
I (0.5000, 0.5000, 0.5000)  4 Ag 3.09

Which of them is the most stable? Correct choice: <1>.